1.
# V2ZnGa

Crystalline V2ZnGa at its relaxed geometry (PBE, Alexandria).

Summary:
Its energy relative to the elements is 0.3 eV per formula unit. As for the total magnetic moment: 0.0 μB/cell. The value obtained for the total energy is -66.85 eV/cell.

Cell: 2.7171 2.7171 26.8516 Å, 90.00 90.00 120.00°
Closest atoms and distances in Å follow each position.
Space group R3m (No. 160, hexagonal axes)
Symmetry-distinct sites (fractional):
1 V 0.0000 0.0000 0.0000 [3 per cell]  3 Ga 2.71, 6 V 2.72, 3 Zn 2.75
2 V 0.0000 0.0000 0.1683 [3 per cell]  3 Ga 2.72, 6 V 2.72, 3 Zn 2.75
3 Zn 0.0000 0.0000 0.4175 [3 per cell]  6 Zn 2.72, 6 V 2.75
4 Ga 0.0000 0.0000 0.5842 [3 per cell]  6 V 2.71-2.72, 6 Ga 2.72

***

2.
# Dy3Sc2Ag2

Crystalline Dy3Sc2Ag2 at its relaxed geometry (PBE, Alexandria).

Summary:
Its energy relative to the elements is -0.1 eV per formula unit. As for the total magnetic moment: 0.0 μB/cell. The value obtained for the total energy is -64.45 eV/cell.

Cell: 4.7768 21.7218 3.3676 Å, 90.00 90.00 90.00°
Closest atoms and distances in Å follow each position.
Space group Cmmm (No. 65)
Symmetry-distinct sites (fractional):
1 Dy 0.0000 0.0000 0.0000 [2 per cell]  4 Dy 3.24-3.37, 8 Ag 3.32
2 Dy 0.0000 0.1491 0.0000 [4 per cell]  6 Sc 3.24-3.43, 3 Dy 3.24-3.37, 4 Ag 3.36
3 Sc 0.0000 0.2867 0.5000 [4 per cell]  2 Sc 2.87, 1 Ag 3.05
4 Ag 0.0000 0.4272 0.5000 [4 per cell]  1 Sc 3.05, 3 Ag 3.16-3.37, 8 Dy 3.32-3.36